Entry 1:
Sm4CdAg7 after structural relaxation. Source: Alexandria via LeMat-Bulk, functional PBE-GGA.

Cell and atoms, written as POSCAR:
```
Sm4CdAg7
1.0
-0.939 -0.848 -5.317
-7.362 -7.233 -0.355
-4.132 3.555 -2.646
Sm Cd Ag
4 1 7
Direct
0.606 0.213 0.576
0.394 0.787 0.424
0.796 0.636 0.771
0.204 0.364 0.229
0.000 0.000 0.000
0.792 0.912 0.503
0.208 0.088 0.497
0.076 0.682 0.166
0.924 0.318 0.834
0.372 0.505 0.750
0.500 0.000 0.000
0.628 0.495 0.250
```

- VASP energy (eV per atom) = -3.402
- calculated formation energy (eV/atom) = -0.090


Entry 2:
SmCd4Ag2 after structural relaxation. Source: Alexandria via LeMat-Bulk, functional PBE-GGA.

Cell and atoms, written as POSCAR:
```
SmCd4Ag2
1.0
5.916 0.215 0.361
2.471 4.991 -0.486
-1.535 -1.821 5.431
Sm Cd Ag
1 4 2
Direct
0.000 0.000 0.000
0.608 0.697 0.001
0.392 0.303 0.999
0.001 0.303 0.608
0.999 0.697 0.392
0.500 0.749 0.500
0.500 0.251 0.500
```

- VASP energy (eV per atom) = -2.191
- calculated formation energy (eV/atom) = -0.179


Entry 3:
SmCd3Ag2 after structural relaxation. Source: Alexandria via LeMat-Bulk, functional PBE-GGA.

Cell and atoms, written as POSCAR:
```
SmCd3Ag2
1.0
-0.903 3.805 -2.257
1.049 -6.552 -6.947
-6.566 0.474 3.426
Sm Cd Ag
2 6 4
Direct
0.886 0.772 0.939
0.114 0.228 0.061
0.305 0.611 0.531
0.929 0.859 0.537
0.629 0.259 0.765
0.371 0.741 0.235
0.071 0.141 0.463
0.695 0.389 0.469
0.482 0.964 0.796
0.518 0.036 0.204
0.761 0.522 0.183
0.239 0.478 0.817
```

- VASP energy (eV per atom) = -2.372
- calculated formation energy (eV/atom) = -0.178


Entry 4:
Sm6Cd2Ag after structural relaxation. Source: Alexandria via LeMat-Bulk, functional PBE-GGA.

Cell and atoms, written as POSCAR:
```
Sm6Cd2Ag
1.0
-5.230 1.654 -3.242
-1.645 -9.123 -2.001
-6.319 -0.327 6.684
Sm Cd Ag
12 4 2
Direct
0.882 0.963 0.202
0.897 0.670 0.529
0.910 0.691 0.940
0.590 0.191 0.560
0.603 0.170 0.971
0.618 0.463 0.298
0.118 0.037 0.798
0.103 0.330 0.471
0.090 0.309 0.060
0.410 0.809 0.440
0.397 0.830 0.029
0.382 0.537 0.702
0.869 0.399 0.778
0.631 0.899 0.722
0.369 0.101 0.278
0.131 0.601 0.222
0.500 0.500 0.000
0.000 0.000 0.500
```

- VASP energy (eV per atom) = -3.745
- calculated formation energy (eV/atom) = -0.078
- relative energy among the computed polymorphs (meV/atom) = 37.7